# MnFe2Sb (PBE, optimized geometry)
# Energy relative to the elements, uncorrected (eV per formula unit): 1.190
data_MnFe2Sb
_chemical_formula_sum 'Mn1 Fe2 Sb1'
_cell_length_a 2.909
_cell_length_b 4.251
_cell_length_c 4.829
_cell_angle_alpha 90.00
_cell_angle_beta 96.94
_cell_angle_gamma 90.00
_symmetry_space_group_name_H-M 'P 1 2/m 1'
_symmetry_Int_Tables_number 10
_symmetry_space_group_name_Hall '-P 2y'
loop_
_atom_site_label
_atom_site_type_symbol
_atom_site_fract_x
_atom_site_fract_y
_atom_site_fract_z
Mn1 Mn 0.000 0.000 0.000
Fe1 Fe 0.274 0.500 0.778
Sb1 Sb 0.500 0.000 0.500

---

# Cs2KRbCu (PBE, optimized geometry)
# ΔH_f (0 K) (eV/atom): 0.196
# Energy above the most stable polymorph in this dataset (eV/atom): 0.000
data_Cs2KRbCu
_chemical_formula_sum 'Cs2 K1 Rb1 Cu1'
_cell_length_a 7.302
_cell_length_b 7.302
_cell_length_c 6.909
_cell_angle_alpha 90.00
_cell_angle_beta 90.00
_cell_angle_gamma 90.00
_symmetry_space_group_name_H-M 'P 4/m m m'
_symmetry_Int_Tables_number 123
_symmetry_space_group_name_Hall '-P 4 2'
loop_
_atom_site_label
_atom_site_type_symbol
_atom_site_fract_x
_atom_site_fract_y
_atom_site_fract_z
Cs1 Cs 0.000 0.500 0.000
K1 K 0.000 0.000 0.500
Rb1 Rb 0.500 0.500 0.500
Cu1 Cu 0.000 0.000 0.000

---

# Nd6Dy2ErTh (PBE, optimized geometry)
# ΔH_f (0 K) (eV/atom): 0.144
data_Nd6Dy2ErTh
_chemical_formula_sum 'Nd24 Dy8 Er4 Th4'
_cell_length_a 9.364
_cell_length_b 15.084
_cell_length_c 9.745
_cell_angle_alpha 90.00
_cell_angle_beta 97.82
_cell_angle_gamma 90.00
_symmetry_space_group_name_H-M 'C 1 2/c 1'
_symmetry_Int_Tables_number 15
_symmetry_space_group_name_Hall '-C 2yc'
loop_
_atom_site_label
_atom_site_type_symbol
_atom_site_fract_x
_atom_site_fract_y
_atom_site_fract_z
Nd1 Nd 0.065 0.176 0.443
Nd2 Nd 0.095 0.392 0.618
Nd3 Nd 0.209 0.217 0.811
Dy1 Dy 0.246 0.046 0.050
Er1 Er 0.000 0.409 0.250
Th1 Th 0.000 0.028 0.750